Record 1
! meta-GGA SCAN CaVSi2O6, PBEsol geometry; values from VASP
! **Uncorrected formation energy**: -3.035 eV/atom
! **Theoretical density**: 3.593 g cm⁻³
&SYSTEM
  ibrav = 0, nat = 20, ntyp = 4
/
ATOMIC_SPECIES
Ca 40.08 Ca.upf
V 50.94 V.upf
Si 28.09 Si.upf
O 16.00 O.upf
CELL_PARAMETERS angstrom
4.941 -4.494 0.000
4.941 4.494 0.000
-1.406 0.000 5.061
ATOMIC_POSITIONS crystal
Ca 0.207 0.793 0.750
Ca 0.793 0.207 0.250
V 0.407 0.593 0.250
V 0.593 0.407 0.750
Si 0.119 0.303 0.769
Si 0.303 0.119 0.269
Si 0.697 0.881 0.731
Si 0.881 0.697 0.231
O 0.111 0.611 0.321
O 0.128 0.166 0.005
O 0.166 0.128 0.505
O 0.295 0.467 0.852
O 0.389 0.889 0.179
O 0.467 0.295 0.352
O 0.533 0.705 0.648
O 0.611 0.111 0.821
O 0.705 0.533 0.148
O 0.834 0.872 0.495
O 0.872 0.834 0.995
O 0.889 0.389 0.679

Record 2
! meta-GGA SCAN CaSi4WO10, PBEsol geometry; values from VASP
! **Uncorrected formation energy**: -2.688 eV/atom
! **Theoretical density**: 3.851 g cm⁻³
&SYSTEM
  ibrav = 0, nat = 64, ntyp = 4
/
ATOMIC_SPECIES
Ca 40.08 Ca.upf
Si 28.09 Si.upf
W 183.84 W.upf
O 16.00 O.upf
CELL_PARAMETERS angstrom
7.473 0.000 0.000
0.000 7.473 0.000
0.000 0.000 15.328
ATOMIC_POSITIONS crystal
Ca 0.250 0.750 0.000
Ca 0.250 0.750 0.500
Ca 0.750 0.250 0.000
Ca 0.750 0.250 0.500
Si 0.002 0.084 0.149
Si 0.002 0.416 0.649
Si 0.084 0.002 0.649
Si 0.084 0.498 0.149
Si 0.416 0.002 0.149
Si 0.416 0.498 0.649
Si 0.498 0.084 0.649
Si 0.498 0.416 0.149
Si 0.502 0.584 0.851
Si 0.502 0.916 0.351
Si 0.584 0.502 0.351
Si 0.584 0.998 0.851
Si 0.916 0.502 0.851
Si 0.916 0.998 0.351
Si 0.998 0.584 0.351
Si 0.998 0.916 0.851
W 0.250 0.250 0.419
W 0.250 0.250 0.919
W 0.750 0.750 0.081
W 0.750 0.750 0.581
O 0.001 0.200 0.629
O 0.001 0.300 0.129
O 0.008 0.645 0.081
O 0.008 0.855 0.581
O 0.048 0.548 0.250
O 0.048 0.952 0.750
O 0.145 0.508 0.419
O 0.145 0.992 0.919
O 0.200 0.001 0.129
O 0.200 0.499 0.629
O 0.300 0.001 0.629
O 0.300 0.499 0.129
O 0.355 0.508 0.919
O 0.355 0.992 0.419
O 0.452 0.548 0.750
O 0.452 0.952 0.250
O 0.492 0.645 0.581
O 0.492 0.855 0.081
O 0.499 0.200 0.129
O 0.499 0.300 0.629
O 0.501 0.700 0.371
O 0.501 0.800 0.871
O 0.508 0.145 0.919
O 0.508 0.355 0.419
O 0.548 0.048 0.750
O 0.548 0.452 0.250
O 0.645 0.008 0.581
O 0.645 0.492 0.081
O 0.700 0.501 0.871
O 0.700 0.999 0.371
O 0.800 0.501 0.371
O 0.800 0.999 0.871
O 0.855 0.008 0.081
O 0.855 0.492 0.581
O 0.952 0.048 0.250
O 0.952 0.452 0.750
O 0.992 0.145 0.419
O 0.992 0.355 0.919
O 0.999 0.700 0.871
O 0.999 0.800 0.371

Record 3
! meta-GGA SCAN CaZnSi3O8, PBEsol geometry; values from VASP
! **Uncorrected formation energy**: -2.927 eV/atom
! **Theoretical density**: 3.109 g cm⁻³
&SYSTEM
  ibrav = 0, nat = 26, ntyp = 4
/
ATOMIC_SPECIES
Ca 40.08 Ca.upf
Zn 65.41 Zn.upf
Si 28.09 Si.upf
O 16.00 O.upf
CELL_PARAMETERS angstrom
7.228 0.000 0.000
-1.336 7.171 0.000
-2.282 -3.963 6.548
ATOMIC_POSITIONS crystal
Ca 0.148 0.276 0.229
Ca 0.852 0.724 0.771
Zn 0.208 0.825 0.188
Zn 0.792 0.175 0.812
Si 0.247 0.166 0.827
Si 0.308 0.581 0.804
Si 0.367 0.775 0.553
Si 0.633 0.225 0.447
Si 0.692 0.419 0.196
Si 0.753 0.834 0.173
O 0.047 0.095 0.870
O 0.175 0.711 0.904
O 0.229 0.327 0.738
O 0.263 0.654 0.307
O 0.273 0.958 0.661
O 0.280 0.567 0.585
O 0.384 0.132 0.339
O 0.444 0.299 0.051
O 0.556 0.701 0.949
O 0.616 0.868 0.661
O 0.720 0.433 0.415
O 0.727 0.042 0.339
O 0.737 0.346 0.693
O 0.771 0.673 0.262
O 0.825 0.289 0.096
O 0.953 0.905 0.130

Record 4
! meta-GGA SCAN Ca2Sn3O8, PBEsol geometry; values from VASP
! **Uncorrected formation energy**: -2.236 eV/atom
! **Theoretical density**: 5.070 g cm⁻³
&SYSTEM
  ibrav = 0, nat = 26, ntyp = 3
/
ATOMIC_SPECIES
Ca 40.08 Ca.upf
Sn 118.71 Sn.upf
O 16.00 O.upf
CELL_PARAMETERS angstrom
6.405 0.000 0.000
-3.203 5.547 0.000
0.000 0.000 10.402
ATOMIC_POSITIONS crystal
Ca 0.333 0.667 0.000
Ca 0.333 0.667 0.382
Ca 0.667 0.333 0.500
Ca 0.667 0.333 0.882
Sn 0.164 0.329 0.667
Sn 0.164 0.836 0.667
Sn 0.329 0.164 0.167
Sn 0.671 0.836 0.667
Sn 0.836 0.164 0.167
Sn 0.836 0.671 0.167
O 0.000 0.000 0.062
O 0.000 0.000 0.562
O 0.047 0.524 0.556
O 0.162 0.324 0.261
O 0.162 0.838 0.261
O 0.324 0.162 0.761
O 0.333 0.667 0.776
O 0.476 0.524 0.556
O 0.476 0.953 0.556
O 0.524 0.047 0.056
O 0.524 0.476 0.056
O 0.667 0.333 0.276
O 0.676 0.838 0.261
O 0.838 0.162 0.761
O 0.838 0.676 0.761
O 0.953 0.476 0.056

Record 5
! meta-GGA SCAN Ca2Sn3O8, PBEsol geometry; values from VASP
! **Uncorrected formation energy**: -2.302 eV/atom
! **Theoretical density**: 5.199 g cm⁻³
&SYSTEM
  ibrav = 0, nat = 13, ntyp = 3
/
ATOMIC_SPECIES
Ca 40.08 Ca.upf
Sn 118.71 Sn.upf
O 16.00 O.upf
CELL_PARAMETERS angstrom
5.669 -3.177 0.000
5.669 3.177 0.000
-1.879 0.000 5.003
ATOMIC_POSITIONS crystal
Ca 0.220 0.220 0.154
Ca 0.780 0.780 0.846
Sn 0.238 0.762 0.500
Sn 0.500 0.500 0.000
Sn 0.762 0.238 0.500
O 0.109 0.109 0.441
O 0.169 0.610 0.102
O 0.390 0.831 0.898
O 0.397 0.397 0.586
O 0.603 0.603 0.414
O 0.610 0.169 0.102
O 0.831 0.390 0.898
O 0.891 0.891 0.559

Record 6
! meta-GGA SCAN SrCa3Sn4O12, PBEsol geometry; values from VASP
! **Uncorrected formation energy**: -2.461 eV/atom
! **Theoretical density**: 5.750 g cm⁻³
&SYSTEM
  ibrav = 0, nat = 20, ntyp = 4
/
ATOMIC_SPECIES
Sr 87.62 Sr.upf
Ca 40.08 Ca.upf
Sn 118.71 Sn.upf
O 16.00 O.upf
CELL_PARAMETERS angstrom
5.561 0.000 0.000
0.000 7.957 0.000
-0.009 0.000 5.709
ATOMIC_POSITIONS crystal
Sr 0.000 0.000 0.000
Ca 0.471 0.000 0.491
Ca 0.501 0.500 0.592
Ca 0.975 0.500 0.100
Sn 0.488 0.253 0.043
Sn 0.488 0.747 0.043
Sn 0.989 0.252 0.546
Sn 0.989 0.748 0.546
O 0.093 0.500 0.507
O 0.194 0.206 0.253
O 0.194 0.794 0.253
O 0.294 0.198 0.742
O 0.294 0.802 0.742
O 0.383 0.500 0.998
O 0.570 0.000 0.084
O 0.692 0.308 0.338
O 0.692 0.692 0.338
O 0.792 0.304 0.843
O 0.792 0.696 0.843
O 0.885 0.000 0.564

Record 7
! meta-GGA SCAN SrCaO2, PBEsol geometry; values from VASP
! **Uncorrected formation energy**: -3.070 eV/atom
! **Theoretical density**: 4.312 g cm⁻³
&SYSTEM
  ibrav = 0, nat = 4, ntyp = 3
/
ATOMIC_SPECIES
Sr 87.62 Sr.upf
Ca 40.08 Ca.upf
O 16.00 O.upf
CELL_PARAMETERS angstrom
3.517 0.000 0.000
0.000 3.517 0.000
0.000 0.000 4.970
ATOMIC_POSITIONS crystal
Sr 0.000 0.000 0.000
Ca 0.500 0.500 0.500
O 0.000 0.000 0.500
O 0.500 0.500 0.000

Record 8
! meta-GGA SCAN SrCaO2, PBEsol geometry; values from VASP
! **Uncorrected formation energy**: -2.657 eV/atom
! **Theoretical density**: 4.921 g cm⁻³
&SYSTEM
  ibrav = 0, nat = 16, ntyp = 3
/
ATOMIC_SPECIES
Sr 87.62 Sr.upf
Ca 40.08 Ca.upf
O 16.00 O.upf
CELL_PARAMETERS angstrom
5.996 0.000 0.000
0.000 5.996 0.000
0.000 0.000 5.996
ATOMIC_POSITIONS crystal
Sr 0.000 0.000 0.000
Sr 0.000 0.500 0.500
Sr 0.500 0.000 0.500
Sr 0.500 0.500 0.000
Ca 0.000 0.000 0.500
Ca 0.000 0.500 0.000
Ca 0.500 0.000 0.000
Ca 0.500 0.500 0.500
O 0.250 0.250 0.250
O 0.250 0.250 0.750
O 0.250 0.750 0.250
O 0.250 0.750 0.750
O 0.750 0.250 0.250
O 0.750 0.250 0.750
O 0.750 0.750 0.250
O 0.750 0.750 0.750

Record 9
! meta-GGA SCAN SrCaO2, PBEsol geometry; values from VASP
! **Uncorrected formation energy**: -2.884 eV/atom
! **Theoretical density**: 3.435 g cm⁻³
&SYSTEM
  ibrav = 0, nat = 16, ntyp = 3
/
ATOMIC_SPECIES
Sr 87.62 Sr.upf
Ca 40.08 Ca.upf
O 16.00 O.upf
CELL_PARAMETERS angstrom
5.392 0.000 0.000
0.000 5.392 0.000
0.000 0.000 10.619
ATOMIC_POSITIONS crystal
Sr 0.000 0.000 0.000
Sr 0.000 0.500 0.250
Sr 0.500 0.000 0.750
Sr 0.500 0.500 0.500
Ca 0.000 0.000 0.500
Ca 0.000 0.500 0.750
Ca 0.500 0.000 0.250
Ca 0.500 0.500 0.000
O 0.227 0.250 0.625
O 0.250 0.727 0.875
O 0.250 0.773 0.375
O 0.273 0.250 0.125
O 0.727 0.750 0.125
O 0.750 0.227 0.375
O 0.750 0.273 0.875
O 0.773 0.750 0.625

Record 10
! meta-GGA SCAN Sr2CaTaO, PBEsol geometry; values from VASP
! **Uncorrected formation energy**: 0.493 eV/atom
! **Theoretical density**: 4.124 g cm⁻³
&SYSTEM
  ibrav = 0, nat = 5, ntyp = 4
/
ATOMIC_SPECIES
Sr 87.62 Sr.upf
Ca 40.08 Ca.upf
Ta 180.95 Ta.upf
O 16.00 O.upf
CELL_PARAMETERS angstrom
6.455 0.000 0.000
0.000 6.455 0.000
0.000 0.000 3.985
ATOMIC_POSITIONS crystal
Sr 0.000 0.500 0.000
Sr 0.500 0.000 0.000
Ca 0.000 0.000 0.000
Ta 0.500 0.500 0.500
O 0.000 0.000 0.500

Record 11
! meta-GGA SCAN SrCa2Te3O9, PBEsol geometry; values from VASP
! **Uncorrected formation energy**: -2.145 eV/atom
! **Theoretical density**: 4.441 g cm⁻³
&SYSTEM
  ibrav = 0, nat = 30, ntyp = 4
/
ATOMIC_SPECIES
Sr 87.62 Sr.upf
Ca 40.08 Ca.upf
Te 127.60 Te.upf
O 16.00 O.upf
CELL_PARAMETERS angstrom
8.605 0.000 0.000
0.000 5.698 0.000
-3.939 0.000 10.593
ATOMIC_POSITIONS crystal
Sr 0.006 0.000 0.139
Sr 0.994 0.500 0.861
Ca 0.020 0.933 0.616
Ca 0.304 0.991 0.948
Ca 0.696 0.491 0.052
Ca 0.980 0.433 0.384
Te 0.265 0.500 0.174
Te 0.314 0.904 0.483
Te 0.330 0.431 0.748
Te 0.670 0.931 0.252
Te 0.686 0.404 0.517
Te 0.735 0.000 0.826
O 0.082 0.422 0.221
O 0.155 0.236 0.751
O 0.168 0.142 0.490
O 0.168 0.733 0.052
O 0.184 0.670 0.520
O 0.210 0.255 0.052
O 0.238 0.706 0.791
O 0.272 0.868 0.310
O 0.467 0.321 0.909
O 0.533 0.821 0.091
O 0.728 0.368 0.690
O 0.762 0.206 0.209
O 0.790 0.755 0.948
O 0.816 0.170 0.480
O 0.832 0.233 0.948
O 0.832 0.642 0.510
O 0.845 0.736 0.249
O 0.918 0.922 0.779

Record 12
! meta-GGA SCAN SrCa2TeO, PBEsol geometry; values from VASP
! **Uncorrected formation energy**: -0.439 eV/atom
! **Theoretical density**: 3.025 g cm⁻³
&SYSTEM
  ibrav = 0, nat = 5, ntyp = 4
/
ATOMIC_SPECIES
Sr 87.62 Sr.upf
Ca 40.08 Ca.upf
Te 127.60 Te.upf
O 16.00 O.upf
CELL_PARAMETERS angstrom
6.256 0.000 0.000
0.000 6.256 0.000
0.000 0.000 4.367
ATOMIC_POSITIONS crystal
Sr 0.000 0.000 0.000
Ca 0.000 0.500 0.000
Ca 0.500 0.000 0.000
Te 0.500 0.500 0.500
O 0.000 0.000 0.500

Record 13
! meta-GGA SCAN SrCaTi2O6, PBEsol geometry; values from VASP
! **Uncorrected formation energy**: -3.447 eV/atom
! **Theoretical density**: 4.622 g cm⁻³
&SYSTEM
  ibrav = 0, nat = 20, ntyp = 4
/
ATOMIC_SPECIES
Sr 87.62 Sr.upf
Ca 40.08 Ca.upf
Ti 47.87 Ti.upf
O 16.00 O.upf
CELL_PARAMETERS angstrom
3.847 -3.861 0.000
3.847 3.861 0.000
0.000 0.000 7.725
ATOMIC_POSITIONS crystal
Sr 0.010 0.990 0.750
Sr 0.990 0.010 0.250
Ca 0.488 0.512 0.250
Ca 0.512 0.488 0.750
Ti 0.000 0.500 0.000
Ti 0.000 0.500 0.500
Ti 0.500 0.000 0.000
Ti 0.500 0.000 0.500
O 0.049 0.534 0.250
O 0.221 0.221 0.000
O 0.221 0.221 0.500
O 0.283 0.717 0.541
O 0.283 0.717 0.959
O 0.466 0.951 0.250
O 0.534 0.049 0.750
O 0.717 0.283 0.041
O 0.717 0.283 0.459
O 0.779 0.779 0.000
O 0.779 0.779 0.500
O 0.951 0.466 0.750

Record 14
! meta-GGA SCAN SrCa3Ti4O12, PBEsol geometry; values from VASP
! **Uncorrected formation energy**: -3.450 eV/atom
! **Theoretical density**: 4.348 g cm⁻³
&SYSTEM
  ibrav = 0, nat = 20, ntyp = 4
/
ATOMIC_SPECIES
Sr 87.62 Sr.upf
Ca 40.08 Ca.upf
Ti 47.87 Ti.upf
O 16.00 O.upf
CELL_PARAMETERS angstrom
5.401 0.000 0.000
0.000 7.657 0.000
-0.001 0.000 5.460
ATOMIC_POSITIONS crystal
Sr 0.000 0.000 0.000
Ca 0.491 0.000 0.511
Ca 0.503 0.500 0.439
Ca 0.987 0.500 0.933
Ti 0.000 0.252 0.470
Ti 0.000 0.748 0.470
Ti 0.495 0.254 0.971
Ti 0.495 0.746 0.971
O 0.066 0.500 0.488
O 0.212 0.228 0.763
O 0.212 0.772 0.763
O 0.285 0.211 0.271
O 0.285 0.789 0.271
O 0.418 0.500 0.009
O 0.545 0.000 0.955
O 0.710 0.292 0.697
O 0.710 0.708 0.697
O 0.783 0.288 0.193
O 0.783 0.712 0.193
O 0.923 0.000 0.481

Record 15
! meta-GGA SCAN SrCaTi2O6, PBEsol geometry; values from VASP
! **Uncorrected formation energy**: -3.449 eV/atom
! **Theoretical density**: 4.611 g cm⁻³
&SYSTEM
  ibrav = 0, nat = 20, ntyp = 4
/
ATOMIC_SPECIES
Sr 87.62 Sr.upf
Ca 40.08 Ca.upf
Ti 47.87 Ti.upf
O 16.00 O.upf
CELL_PARAMETERS angstrom
7.693 0.000 0.000
0.000 5.456 0.000
0.000 0.000 5.481
ATOMIC_POSITIONS crystal
Sr 0.000 0.247 0.000
Sr 0.000 0.753 0.500
Ca 0.500 0.256 0.053
Ca 0.500 0.744 0.553
Ti 0.255 0.247 0.525
Ti 0.255 0.753 0.025
Ti 0.745 0.247 0.525
Ti 0.745 0.753 0.025
O 0.000 0.298 0.514
O 0.000 0.702 0.014
O 0.227 0.027 0.233
O 0.227 0.973 0.733
O 0.289 0.471 0.789
O 0.289 0.529 0.289
O 0.500 0.180 0.492
O 0.500 0.820 0.992
O 0.711 0.471 0.789
O 0.711 0.529 0.289
O 0.773 0.027 0.233
O 0.773 0.973 0.733

Record 16
! meta-GGA SCAN SrCaV2O6, PBEsol geometry; values from VASP
! **Uncorrected formation energy**: -3.026 eV/atom
! **Theoretical density**: 4.990 g cm⁻³
&SYSTEM
  ibrav = 0, nat = 20, ntyp = 4
/
ATOMIC_SPECIES
Sr 87.62 Sr.upf
Ca 40.08 Ca.upf
V 50.94 V.upf
O 16.00 O.upf
CELL_PARAMETERS angstrom
7.537 0.000 0.000
0.000 5.366 0.000
0.000 0.000 5.357
ATOMIC_POSITIONS crystal
Sr 0.000 0.250 0.000
Sr 0.000 0.750 0.500
Ca 0.500 0.248 0.990
Ca 0.500 0.752 0.490
V 0.254 0.252 0.497
V 0.254 0.748 0.997
V 0.746 0.252 0.497
V 0.746 0.748 0.997
O 0.000 0.225 0.496
O 0.000 0.775 0.996
O 0.240 0.492 0.755
O 0.240 0.508 0.255
O 0.272 0.008 0.239
O 0.272 0.992 0.739
O 0.500 0.285 0.499
O 0.500 0.715 0.999
O 0.728 0.008 0.239
O 0.728 0.992 0.739
O 0.760 0.492 0.755
O 0.760 0.508 0.255